First-principles (GGA-PBE) data for a relaxed K2RbAs2Pd crystal, as listed in Alexandria.

abc: 8.791 12.924 7.439
angles: 90.00 90.00 90.00
Space group Ibam (No. 72)
Inequivalent atoms, fractional coordinates:
K 0.151 0.198 0.000 [8 per cell]
Rb 0.000 0.500 0.250 [4 per cell]
As 0.178 0.056 0.500 [8 per cell]
Pd 0.000 0.000 0.250 [4 per cell]

E_tot = -3.25 eV per atom
ΔE_f = -0.312 eV/atom
Total moment = 0.000 μB per atom

---

First-principles (GGA-PBE) data for a relaxed Nb4VS crystal, as listed in Alexandria.

abc: 6.062 5.222 7.002
angles: 90.00 104.19 90.00
Space group P2_1/c (No. 14)
Inequivalent atoms, fractional coordinates:
Nb 0.115 0.092 0.359 [4 per cell]
Nb 0.382 0.617 0.300 [4 per cell]
V 0.000 0.000 0.000 [2 per cell]
S 0.500 0.000 0.500 [2 per cell]

E_tot = -8.87 eV per atom
Formation energy (no corrections) = 0.0471 eV/atom
Total moment = 0.000 μB per atom

---

First-principles (GGA-PBE) data for a relaxed LaPm12Pr6 crystal, as listed in Alexandria.

abc: 12.3500 12.3500 15.3956
angles: 90.00 90.00 120.00
Space group R-3 (No. 148, hexagonal axes)
Inequivalent atoms, fractional coordinates:
La 0.0000 0.0000 0.0000 [3 per cell]
Pm 0.0064 0.8322 0.1912 [18 per cell]
Pm 0.0470 0.8528 0.4167 [18 per cell]
Pr 0.0112 0.4215 0.6831 [18 per cell]

E_tot = -4.64 eV per atom
ΔE_f = 0.129 eV/atom
E above lowest polymorph = 2.186 eV per formula unit
Total moment = 0.000 μB per atom

---

First-principles (GGA-PBE) data for a relaxed LaEuSnBr crystal, as listed in Alexandria.

abc: 7.877 7.877 7.877
angles: 90.00 90.00 90.00
Space group F-43m (No. 216)
Inequivalent atoms, fractional coordinates:
La 0.000 0.000 0.000 [4 per cell]
Eu 0.000 0.000 0.500 [4 per cell]
Sn 0.250 0.250 0.250 [4 per cell]
Br 0.250 0.250 0.750 [4 per cell]

E_tot = -6.21 eV per atom
Formation energy (no corrections) = -0.9901 eV/atom
Total moment = 1.744 μB per atom

---

First-principles (GGA-PBE) data for a relaxed AlTeAs3 crystal, as listed in Alexandria.

abc: 4.883 4.883 4.883
angles: 90.00 90.00 90.00
Space group Pm-3m (No. 221)
Inequivalent atoms, fractional coordinates:
Al 0.000 0.000 0.000 [1 per cell]
Te 0.500 0.500 0.500 [1 per cell]
As 0.000 0.000 0.500 [3 per cell]

E_tot = -3.67 eV per atom
Formation energy (no corrections) = 0.4989 eV/atom
E above lowest polymorph = 0.000 eV per formula unit
Total moment = 0.000 μB per atom